[1]
A geometry-optimized Ce3Sm4YSe8 structure, computed with PBE.

## Properties
ρ   7.04 g/cm3
Density of states at the Fermi level   21.79 states/eV/f.u.
Electronic total energy   -6.26 eV per atom

```
Ce3Sm4YSe8
1.0
-1.858 -2.686 7.682
-1.746 -7.564 -3.067
7.421 3.506 -1.514
Ce Sm Se Y
3 4 8 1
Direct
0.500 0.500 0.500
0.000 0.500 0.500
0.500 0.500 0.000
0.500 0.000 0.500
0.500 0.000 0.000
0.000 0.000 0.000
0.000 0.000 0.500
0.247 0.749 0.495
0.754 0.749 0.001
0.246 0.251 0.999
0.753 0.251 0.505
0.247 0.749 0.001
0.753 0.251 0.999
0.751 0.753 0.502
0.249 0.247 0.498
0.000 0.500 0.000
```

***

[2]
A geometry-optimized CeSm2Y3Se6 structure, computed with PBE.

## Properties
ρ   6.53 g/cm3
Density of states at the Fermi level   10.93 states/eV/f.u.
Electronic total energy   -6.44 eV per atom

```
CeSm2Y3Se6
1.0
-0.400 3.379 -2.305
-4.495 3.584 6.033
8.697 0.651 3.110
Y Se Sm Ce
3 6 2 1
Direct
0.833 0.166 0.667
0.167 0.834 0.333
0.500 0.500 0.000
0.331 0.921 0.661
0.666 0.588 0.331
0.334 0.412 0.669
0.998 0.257 0.996
0.002 0.743 0.004
0.669 0.079 0.339
0.166 0.331 0.331
0.834 0.669 0.669
0.500 0.000 0.000
```

***

[3]
A geometry-optimized CeSn5Se7 structure, computed with PBE.

## Properties
ρ   5.81 g/cm3
Density of states at the Fermi level   5.50 states/eV/f.u.
Electronic total energy   -4.57 eV per atom

```
CeSn5Se7
1.0
-1.133 -2.226 3.322
-3.804 -2.749 -5.740
18.397 -16.068 -4.490
Se Sn Ce
14 10 2
Direct
0.795 0.589 0.684
0.568 0.136 0.747
0.929 0.857 0.107
0.650 0.300 0.041
0.827 0.655 0.820
0.072 0.144 0.607
0.121 0.242 0.874
0.206 0.412 0.184
0.622 0.244 0.463
0.350 0.701 0.541
0.173 0.346 0.320
0.880 0.760 0.374
0.378 0.757 0.963
0.433 0.865 0.247
0.557 0.113 0.149
0.749 0.498 0.924
0.517 0.034 0.349
0.988 0.976 0.504
0.252 0.503 0.424
0.483 0.967 0.849
0.013 0.025 0.004
0.715 0.431 0.577
0.285 0.570 0.077
0.444 0.888 0.649
0.211 0.422 0.762
0.790 0.579 0.262
```

***

Repeat the second record exactly.
A geometry-optimized CeSm2Y3Se6 structure, computed with PBE.

## Properties
ρ   6.53 g/cm3
Density of states at the Fermi level   10.93 states/eV/f.u.
Electronic total energy   -6.44 eV per atom

```
CeSm2Y3Se6
1.0
-0.400 3.379 -2.305
-4.495 3.584 6.033
8.697 0.651 3.110
Y Se Sm Ce
3 6 2 1
Direct
0.833 0.166 0.667
0.167 0.834 0.333
0.500 0.500 0.000
0.331 0.921 0.661
0.666 0.588 0.331
0.334 0.412 0.669
0.998 0.257 0.996
0.002 0.743 0.004
0.669 0.079 0.339
0.166 0.331 0.331
0.834 0.669 0.669
0.500 0.000 0.000
```